# LiPmNi2H8 PBE-GGA relaxed
data_LiPmNi2H8
_cell_length_a 6.022
_cell_length_b 6.022
_cell_length_c 6.022
_cell_angle_alpha 43.27
_cell_angle_beta 43.27
_cell_angle_gamma 43.27
_space_group_name_H-M_alt 'P 1'
_space_group_IT_number 1
loop_
_space_group_symop_operation_xyz
'x,y,z'
loop_
_atom_site_label
_atom_site_type_symbol
_atom_site_fract_x
_atom_site_fract_y
_atom_site_fract_z
_atom_site_occupancy
Li1 Li 0.000 0.000 0.000 1
Pm1 Pm 0.500 0.500 0.500 1
Ni1 Ni 0.308 0.308 0.308 1
Ni2 Ni 0.692 0.692 0.692 1
H1 H 0.101 0.650 0.390 1
H2 H 0.200 0.200 0.200 1
H3 H 0.350 0.610 0.899 1
H4 H 0.390 0.101 0.650 1
H5 H 0.610 0.899 0.350 1
H6 H 0.650 0.390 0.101 1
H7 H 0.800 0.800 0.800 1
H8 H 0.899 0.350 0.610 1
# Total energy in eV per atom: -3.97

# LiNiHPt PBE-GGA relaxed
data_LiNiHPt
_cell_length_a 2.665
_cell_length_b 4.417
_cell_length_c 4.417
_cell_angle_alpha 54.38
_cell_angle_beta 90.00
_cell_angle_gamma 90.00
_space_group_name_H-M_alt 'P 1'
_space_group_IT_number 1
loop_
_space_group_symop_operation_xyz
'x,y,z'
loop_
_atom_site_label
_atom_site_type_symbol
_atom_site_fract_x
_atom_site_fract_y
_atom_site_fract_z
_atom_site_occupancy
Li1 Li 0.000 0.000 0.000 1
Ni1 Ni 0.000 0.314 0.314 1
H1 H 0.500 0.451 0.451 1
Pt1 Pt 0.500 0.678 0.678 1
# Total energy in eV per atom: -4.49

# LiPuNiH6 PBE-GGA relaxed
data_LiPuNiH6
_cell_length_a 4.370
_cell_length_b 4.370
_cell_length_c 4.262
_cell_angle_alpha 90.00
_cell_angle_beta 90.00
_cell_angle_gamma 120.00
_space_group_name_H-M_alt 'P 1'
_space_group_IT_number 1
loop_
_space_group_symop_operation_xyz
'x,y,z'
loop_
_atom_site_label
_atom_site_type_symbol
_atom_site_fract_x
_atom_site_fract_y
_atom_site_fract_z
_atom_site_occupancy
Li1 Li 0.000 0.000 0.000 1
Pu1 Pu 0.667 0.333 0.500 1
Ni1 Ni 0.333 0.667 0.000 1
H1 H 0.180 0.359 0.263 1
H2 H 0.180 0.359 0.737 1
H3 H 0.180 0.820 0.263 1
H4 H 0.180 0.820 0.737 1
H5 H 0.641 0.820 0.263 1
H6 H 0.641 0.820 0.737 1
# Total energy in eV per atom: -4.91

# LiPu2NiH6 PBE-GGA relaxed
data_LiPu2NiH6
_cell_length_a 4.982
_cell_length_b 4.982
_cell_length_c 4.394
_cell_angle_alpha 90.00
_cell_angle_beta 90.00
_cell_angle_gamma 120.00
_space_group_name_H-M_alt 'P 1'
_space_group_IT_number 1
loop_
_space_group_symop_operation_xyz
'x,y,z'
loop_
_atom_site_label
_atom_site_type_symbol
_atom_site_fract_x
_atom_site_fract_y
_atom_site_fract_z
_atom_site_occupancy
Li1 Li 0.000 0.000 0.000 1
Pu1 Pu 0.333 0.667 0.746 1
Pu2 Pu 0.667 0.333 0.254 1
Ni1 Ni 0.000 0.000 0.500 1
H1 H 0.168 0.337 0.272 1
H2 H 0.168 0.832 0.272 1
H3 H 0.337 0.168 0.728 1
H4 H 0.663 0.832 0.272 1
H5 H 0.832 0.168 0.728 1
H6 H 0.832 0.663 0.728 1
# Total energy in eV per atom: -5.92

# Rb2LiNi3H12 PBE-GGA relaxed
data_Rb2LiNi3H12
_cell_length_a 6.352
_cell_length_b 6.352
_cell_length_c 6.352
_cell_angle_alpha 58.30
_cell_angle_beta 58.30
_cell_angle_gamma 58.30
_space_group_name_H-M_alt 'P 1'
_space_group_IT_number 1
loop_
_space_group_symop_operation_xyz
'x,y,z'
loop_
_atom_site_label
_atom_site_type_symbol
_atom_site_fract_x
_atom_site_fract_y
_atom_site_fract_z
_atom_site_occupancy
Rb1 Rb 0.119 0.119 0.119 1
Rb2 Rb 0.881 0.881 0.881 1
Li1 Li 0.500 0.500 0.500 1
Ni1 Ni 0.000 0.500 0.500 1
Ni2 Ni 0.500 0.000 0.500 1
Ni3 Ni 0.500 0.500 0.000 1
H1 H 0.121 0.584 0.584 1
H2 H 0.196 0.196 0.580 1
H3 H 0.196 0.580 0.196 1
H4 H 0.416 0.416 0.879 1
H5 H 0.416 0.879 0.416 1
H6 H 0.420 0.804 0.804 1
H7 H 0.580 0.196 0.196 1
H8 H 0.584 0.121 0.584 1
H9 H 0.584 0.584 0.121 1
H10 H 0.804 0.420 0.804 1
H11 H 0.804 0.804 0.420 1
H12 H 0.879 0.416 0.416 1
# Total energy in eV per atom: -3.51

# LiReNiH2 PBE-GGA relaxed
data_LiReNiH2
_cell_length_a 3.410
_cell_length_b 3.410
_cell_length_c 4.047
_cell_angle_alpha 90.00
_cell_angle_beta 90.00
_cell_angle_gamma 90.00
_space_group_name_H-M_alt 'P 1'
_space_group_IT_number 1
loop_
_space_group_symop_operation_xyz
'x,y,z'
loop_
_atom_site_label
_atom_site_type_symbol
_atom_site_fract_x
_atom_site_fract_y
_atom_site_fract_z
_atom_site_occupancy
Li1 Li 0.000 0.000 0.000 1
Re1 Re 0.500 0.500 0.500 1
Ni1 Ni 0.000 0.000 0.500 1
H1 H 0.000 0.500 0.000 1
H2 H 0.500 0.000 0.000 1
# Total energy in eV per atom: -4.34

# LiNiH5Rh2 PBE-GGA relaxed
data_LiNiH5Rh2
_cell_length_a 5.477
_cell_length_b 5.477
_cell_length_c 5.477
_cell_angle_alpha 146.15
_cell_angle_beta 129.26
_cell_angle_gamma 62.40
_space_group_name_H-M_alt 'P 1'
_space_group_IT_number 1
loop_
_space_group_symop_operation_xyz
'x,y,z'
loop_
_atom_site_label
_atom_site_type_symbol
_atom_site_fract_x
_atom_site_fract_y
_atom_site_fract_z
_atom_site_occupancy
Li1 Li 0.000 0.000 0.000 1
Ni1 Ni 0.500 0.500 0.000 1
H1 H 0.117 0.356 0.761 1
H2 H 0.404 0.644 0.761 1
H3 H 0.500 0.000 0.500 1
H4 H 0.596 0.356 0.239 1
H5 H 0.883 0.644 0.239 1
Rh1 Rh 0.274 0.774 0.500 1
Rh2 Rh 0.726 0.226 0.500 1
# Total energy in eV per atom: -4.45

# LiNi2HRh PBE-GGA relaxed
data_LiNi2HRh
_cell_length_a 3.626
_cell_length_b 3.626
_cell_length_c 3.814
_cell_angle_alpha 90.00
_cell_angle_beta 90.00
_cell_angle_gamma 90.00
_space_group_name_H-M_alt 'P 1'
_space_group_IT_number 1
loop_
_space_group_symop_operation_xyz
'x,y,z'
loop_
_atom_site_label
_atom_site_type_symbol
_atom_site_fract_x
_atom_site_fract_y
_atom_site_fract_z
_atom_site_occupancy
Li1 Li 0.000 0.000 0.000 1
Ni1 Ni 0.000 0.500 0.500 1
Ni2 Ni 0.500 0.000 0.500 1
H1 H 0.500 0.500 0.500 1
Rh1 Rh 0.500 0.500 0.000 1
# Polymorph energy (0 for the lowest one) in eV/atom: 0.000

# Li2Ni3H12Rh PBE-GGA relaxed
data_Li2Ni3H12Rh
_cell_length_a 5.742
_cell_length_b 5.742
_cell_length_c 5.742
_cell_angle_alpha 58.29
_cell_angle_beta 58.29
_cell_angle_gamma 58.29
_space_group_name_H-M_alt 'P 1'
_space_group_IT_number 1
loop_
_space_group_symop_operation_xyz
'x,y,z'
loop_
_atom_site_label
_atom_site_type_symbol
_atom_site_fract_x
_atom_site_fract_y
_atom_site_fract_z
_atom_site_occupancy
Li1 Li 0.116 0.116 0.116 1
Li2 Li 0.884 0.884 0.884 1
Ni1 Ni 0.000 0.500 0.500 1
Ni2 Ni 0.500 0.000 0.500 1
Ni3 Ni 0.500 0.500 0.000 1
H1 H 0.130 0.607 0.607 1
H2 H 0.157 0.157 0.615 1
H3 H 0.157 0.615 0.157 1
H4 H 0.385 0.843 0.843 1
H5 H 0.393 0.393 0.870 1
H6 H 0.393 0.870 0.393 1
H7 H 0.607 0.130 0.607 1
H8 H 0.607 0.607 0.130 1
H9 H 0.615 0.157 0.157 1
H10 H 0.843 0.385 0.843 1
H11 H 0.843 0.843 0.385 1
H12 H 0.870 0.393 0.393 1
Rh1 Rh 0.500 0.500 0.500 1
# Total energy in eV per atom: -3.92

# LiNiH4Rh2 PBE-GGA relaxed
data_LiNiH4Rh2
_cell_length_a 5.275
_cell_length_b 5.275
_cell_length_c 9.081
_cell_angle_alpha 90.00
_cell_angle_beta 90.00
_cell_angle_gamma 149.42
_space_group_name_H-M_alt 'P 1'
_space_group_IT_number 1
loop_
_space_group_symop_operation_xyz
'x,y,z'
loop_
_atom_site_label
_atom_site_type_symbol
_atom_site_fract_x
_atom_site_fract_y
_atom_site_fract_z
_atom_site_occupancy
Li1 Li 0.020 0.980 0.750 1
Li2 Li 0.980 0.020 0.250 1
Ni1 Ni 0.242 0.758 0.250 1
Ni2 Ni 0.758 0.242 0.750 1
H1 H 0.000 0.000 0.000 1
H2 H 0.000 0.000 0.500 1
H3 H 0.357 0.643 0.750 1
H4 H 0.377 0.623 0.154 1
H5 H 0.377 0.623 0.346 1
H6 H 0.623 0.377 0.654 1
H7 H 0.623 0.377 0.846 1
H8 H 0.643 0.357 0.250 1
Rh1 Rh 0.364 0.636 0.526 1
Rh2 Rh 0.364 0.636 0.974 1
Rh3 Rh 0.636 0.364 0.026 1
Rh4 Rh 0.636 0.364 0.474 1
# Total energy in eV per atom: -4.59

# LiNi2H5Rh PBE-GGA relaxed
data_LiNi2H5Rh
_cell_length_a 5.470
_cell_length_b 5.470
_cell_length_c 5.470
_cell_angle_alpha 144.57
_cell_angle_beta 133.85
_cell_angle_gamma 59.50
_space_group_name_H-M_alt 'P 1'
_space_group_IT_number 1
loop_
_space_group_symop_operation_xyz
'x,y,z'
loop_
_atom_site_label
_atom_site_type_symbol
_atom_site_fract_x
_atom_site_fract_y
_atom_site_fract_z
_atom_site_occupancy
Li1 Li 0.000 0.000 0.000 1
Ni1 Ni 0.275 0.775 0.500 1
Ni2 Ni 0.725 0.225 0.500 1
H1 H 0.111 0.346 0.765 1
H2 H 0.419 0.654 0.765 1
H3 H 0.500 0.000 0.500 1
H4 H 0.581 0.346 0.235 1
H5 H 0.889 0.654 0.235 1
Rh1 Rh 0.500 0.500 0.000 1
# Total energy in eV per atom: -4.26

# LiNi2HRh PBE-GGA relaxed
data_LiNi2HRh
_cell_length_a 3.545
_cell_length_b 3.545
_cell_length_c 3.880
_cell_angle_alpha 90.00
_cell_angle_beta 90.00
_cell_angle_gamma 90.00
_space_group_name_H-M_alt 'P 1'
_space_group_IT_number 1
loop_
_space_group_symop_operation_xyz
'x,y,z'
loop_
_atom_site_label
_atom_site_type_symbol
_atom_site_fract_x
_atom_site_fract_y
_atom_site_fract_z
_atom_site_occupancy
Li1 Li 0.000 0.000 0.000 1
Ni1 Ni 0.000 0.500 0.500 1
Ni2 Ni 0.500 0.000 0.500 1
H1 H 0.000 0.000 0.500 1
Rh1 Rh 0.500 0.500 0.000 1
# Polymorph energy (0 for the lowest one) in eV/atom: 0.006